Record 1
Entry from the Alexandria database: an optimized crystal structure of RhSN2 (GGA-PBE).

Formation energy (no corrections) in kJ per mole of atoms: 95

a = 6.235 Å, b = 6.235 Å, c = 6.235 Å
α = 25.97°, β = 25.97°, γ = 25.97°
Element x y z (fractional)
Rh 0.000 0.000 0.000
S 0.500 0.500 0.500
N 0.110 0.110 0.110
N 0.890 0.890 0.890


Record 2
Entry from the Alexandria database: an optimized crystal structure of SbRhSN2 (GGA-PBE).

Formation energy (no corrections) in kJ per mole of atoms: 148

a = 3.945 Å, b = 3.945 Å, c = 5.272 Å
α = 90.00°, β = 90.00°, γ = 90.00°
Element x y z (fractional)
Sb 0.000 0.000 0.000
Rh 0.500 0.500 0.500
S 0.000 0.000 0.500
N 0.000 0.500 0.000
N 0.500 0.000 0.000


Record 3
Entry from the Alexandria database: an optimized crystal structure of SbRh2SN (GGA-PBE).

Formation energy (no corrections) in kJ per mole of atoms: 189

a = 4.998 Å, b = 4.998 Å, c = 5.053 Å
α = 90.00°, β = 90.00°, γ = 90.00°
Element x y z (fractional)
Sb 0.000 0.000 0.000
Rh 0.000 0.500 0.000
Rh 0.500 0.000 0.000
S 0.000 0.000 0.500
N 0.500 0.500 0.500


Question: Which of these has the lowest formation energy (no corrections)?
Answer: RhSN2